Record 1
Here is a geometry-optimized CaSb2TeI structure from Alexandria. Energies are from PBE-GGA.

a b c (Å): 6.0012 6.0012 5.5706
angles (deg): 90.00 90.00 90.00
Space group P4/mmm (No. 123)
Unique sites:
Ca  0.0000  0.0000  0.0000 x1
Sb  0.0000  0.5000  0.0000 x2
Te  0.5000  0.5000  0.5000 x1
I  0.0000  0.0000  0.5000 x1

Results
total DFT energy (no corrections): -13.20 eV/cell
Fermi-level density of states: 5.32 states/eV per cell
size of the total moment: 0.00 Bohr magnetons per cell
raw formation energy: 0.35 eV/atom

***

Record 2
Here is a geometry-optimized Rb2CuCl3F structure from Alexandria. Energies are from PBE-GGA.

a b c (Å): 4.4744 4.9435 16.0733
angles (deg): 90.00 90.00 90.00
Space group Immm (No. 71)
Unique sites:
Rb  0.0000  0.0000  0.1396 x4
Cu  0.0000  0.0000  0.5000 x2
Cl  0.0000  0.0000  0.3522 x4
Cl  0.0000  0.5000  0.5000 x2
F  0.0000  0.5000  0.0000 x2

Results
total DFT energy (no corrections): -48.33 eV/cell
Fermi-level density of states: 2.73 states/eV per cell
size of the total moment: 1.88 Bohr magnetons per cell
raw formation energy: -1.53 eV/atom

***

Record 3
Here is a geometry-optimized Li2Te2N structure from Alexandria. Energies are from PBE-GGA.

a b c (Å): 6.6706 6.6706 4.4059
angles (deg): 90.00 90.00 90.00
Space group P4/mbm (No. 127)
Unique sites:
Li  0.1454  0.3546  0.0000 x4
Te  0.1823  0.6823  0.5000 x4
N  0.0000  0.0000  0.5000 x2

Results
total DFT energy (no corrections): -34.66 eV/cell
Fermi-level density of states: 3.41 states/eV per cell
size of the total moment: 0.79 Bohr magnetons per cell
raw formation energy: 0.22 eV/atom

***

Record 4
Here is a geometry-optimized RbLi3Nb structure from Alexandria. Energies are from PBE-GGA.

a b c (Å): 5.6245 5.6245 5.6245
angles (deg): 90.00 90.00 90.00
Space group Pm-3m (No. 221)
Unique sites:
Rb  0.0000  0.0000  0.0000 x1
Li  0.0000  0.5000  0.5000 x3
Nb  0.5000  0.5000  0.5000 x1

Results
total DFT energy (no corrections): -12.01 eV/cell
Fermi-level density of states: 2.83 states/eV per cell
size of the total moment: 5.38 Bohr magnetons per cell
energy of formation: 460.4 kJ/mol of formula units

***

Record 5
Here is a geometry-optimized MgCd12Ag3 structure from Alexandria. Energies are from PBE-GGA.

a b c (Å): 4.3288 4.3288 17.9618
angles (deg): 90.00 90.00 90.00
Space group P4/mmm (No. 123)
Unique sites:
Mg  0.0000  0.0000  0.0000 x1
Cd  0.0000  0.5000  0.1297 x4
Cd  0.0000  0.5000  0.3772 x4
Cd  0.5000  0.5000  0.0000 x1
Cd  0.5000  0.5000  0.2540 x2
Cd  0.5000  0.5000  0.5000 x1
Ag  0.0000  0.0000  0.2538 x2
Ag  0.0000  0.0000  0.5000 x1

Results
total DFT energy (no corrections): -21.46 eV/cell
Fermi-level density of states: 4.63 states/eV per cell
size of the total moment: 0.00 Bohr magnetons per cell
energy of formation: -32.2 kJ/mol of formula units

***

Record 6
Here is a geometry-optimized Rb3Sn4Pb2 structure from Alexandria. Energies are from PBE-GGA.

a b c (Å): 14.3541 4.8523 12.0508
angles (deg): 90.00 124.35 90.00
Space group C2/m (No. 12)
Unique sites:
Rb  0.0000  0.0000  0.0000 x2
Rb  0.2188  0.5000  0.6439 x4
Sn  0.0045  0.0000  0.6271 x4
Sn  0.2485  0.5000  0.0760 x4
Pb  0.0030  0.5000  0.7708 x4

Results
total DFT energy (no corrections): -54.99 eV/cell
Fermi-level density of states: 6.62 states/eV per cell
size of the total moment: 0.00 Bohr magnetons per cell
energy of formation: -112.2 kJ/mol of formula units

***

Record 7
Here is a geometry-optimized Y4ErSc4 structure from Alexandria. Energies are from PBE-GGA.

a b c (Å): 10.2903 10.2903 4.8430
angles (deg): 90.00 90.00 90.00
Space group I4/mmm (No. 139)
Unique sites:
Y  0.0000  0.3270  0.0000 x8
Er  0.0000  0.0000  0.0000 x2
Sc  0.1655  0.1655  0.5000 x8

Results
total DFT energy (no corrections): -110.42 eV/cell
Fermi-level density of states: 28.73 states/eV per cell
size of the total moment: 0.00 Bohr magnetons per cell
energy of formation: 51.8 kJ/mol of formula units

***

Record 8
Here is a geometry-optimized LaAgSn2Te4 structure from Alexandria. Energies are from PBE-GGA.

a b c (Å): 7.6508 4.5263 8.0086
angles (deg): 90.00 109.77 90.00
Space group P2/m (No. 10)
Unique sites:
La  0.0000  0.0000  0.0000 x1
Ag  0.5000  0.5000  0.0000 x1
Sn  0.0000  0.5000  0.5000 x1
Sn  0.5000  0.0000  0.5000 x1
Te  0.2533  0.5000  0.2515 x2
Te  0.2612  0.0000  0.7593 x2

Results
total DFT energy (no corrections): -33.01 eV/cell
Fermi-level density of states: 0.04 states/eV per cell
size of the total moment: 0.00 Bohr magnetons per cell
raw formation energy: -0.58 eV/atom

***

Record 9
Here is a geometry-optimized Sc2CoS structure from Alexandria. Energies are from PBE-GGA.

a b c (Å): 3.3492 3.3492 23.4994
angles (deg): 90.00 90.00 120.00
Space group R-3m (No. 166, hexagonal axes)
Unique sites:
Sc  0.0000  0.0000  0.0979 x6
Co  0.0000  0.0000  0.0000 x3
S  0.0000  0.0000  0.5000 x3

Results
total DFT energy (no corrections): -76.37 eV/cell
Fermi-level density of states: 7.53 states/eV per cell
size of the total moment: 2.38 Bohr magnetons per cell
raw formation energy: -0.39 eV/atom

***

Record 10
Here is a geometry-optimized LuScBeAl structure from Alexandria. Energies are from PBE-GGA.

a b c (Å): 6.7362 6.7362 6.7362
angles (deg): 90.00 90.00 90.00
Space group F-43m (No. 216)
Unique sites:
Lu  0.0000  0.0000  0.0000 x4
Sc  0.0000  0.0000  0.5000 x4
Be  0.2500  0.2500  0.7500 x4
Al  0.2500  0.2500  0.2500 x4

Results
total DFT energy (no corrections): -76.15 eV/cell
Fermi-level density of states: 11.45 states/eV per cell
size of the total moment: 0.00 Bohr magnetons per cell
energy of formation: -69.1 kJ/mol of formula units

***

Record 11
Here is a geometry-optimized CaTlCo2 structure from Alexandria. Energies are from PBE-GGA.

a b c (Å): 4.4270 4.4270 3.5115
angles (deg): 90.00 90.00 90.00
Space group P4/mmm (No. 123)
Unique sites:
Ca  0.0000  0.0000  0.0000 x1
Tl  0.5000  0.5000  0.0000 x1
Co  0.0000  0.5000  0.5000 x2

Results
total DFT energy (no corrections): -16.79 eV/cell
Fermi-level density of states: 5.83 states/eV per cell
size of the total moment: 0.92 Bohr magnetons per cell
energy of formation: 172.3 kJ/mol of formula units

***

Record 12
Here is a geometry-optimized Tb3PmTm5 structure from Alexandria. Energies are from PBE-GGA.

a b c (Å): 15.9356 8.6472 11.7849
angles (deg): 90.00 129.23 90.00
Space group C2/m (No. 12)
Unique sites:
Tb  0.0000  0.0000  0.0000 x2
Tb  0.0000  0.0000  0.5000 x2
Tb  0.2241  0.5000  0.2912 x4
Tb  0.2429  0.5000  0.8040 x4
Pm  0.1418  0.0000  0.3564 x4
Tm  0.0000  0.3206  0.0000 x4
Tm  0.0541  0.5000  0.3975 x4
Tm  0.1119  0.1804  0.8282 x8
Tm  0.1548  0.5000  0.9728 x4

Results
total DFT energy (no corrections): -147.10 eV/cell
Fermi-level density of states: 44.16 states/eV per cell
size of the total moment: 0.00 Bohr magnetons per cell
energy of formation: 407.7 kJ/mol of formula units